No. 1
Computed, not measured: an optimized crystal structure of Cs2KHgAu at the GGA-PBE level of DFT.

Properties
* crystal system: tetragonal

Cell: 6.9193 6.9193 6.4225 Å, 90.00 90.00 90.00°
Fractional coordinates of all 5 atoms:
Cs: 0.0000 0.5000 0.0000
Cs: 0.5000 0.0000 0.0000
K: 0.0000 0.0000 0.5000
Hg: 0.5000 0.5000 0.5000
Au: 0.0000 0.0000 0.0000

No. 2
Computed, not measured: an optimized crystal structure of LaPrErCd at the GGA-PBE level of DFT.

Properties
* crystal system: cubic

Cell: 7.9325 7.9325 7.9325 Å, 90.00 90.00 90.00°
Fractional coordinates of all 16 atoms:
La: 0.0000 0.0000 0.0000
La: 0.0000 0.5000 0.5000
La: 0.5000 0.0000 0.5000
La: 0.5000 0.5000 0.0000
Pr: 0.0000 0.0000 0.5000
Pr: 0.0000 0.5000 0.0000
Pr: 0.5000 0.0000 0.0000
Pr: 0.5000 0.5000 0.5000
Er: 0.2500 0.2500 0.2500
Er: 0.2500 0.7500 0.7500
Er: 0.7500 0.2500 0.7500
Er: 0.7500 0.7500 0.2500
Cd: 0.2500 0.2500 0.7500
Cd: 0.2500 0.7500 0.2500
Cd: 0.7500 0.2500 0.2500
Cd: 0.7500 0.7500 0.7500

No. 3
Computed, not measured: an optimized crystal structure of Ac2YNb at the GGA-PBE level of DFT.

Properties
* crystal system: trigonal

Cell: 3.5569 3.5569 36.6683 Å, 90.00 90.00 120.00°
Fractional coordinates of all 12 atoms:
Ac: 0.0000 0.0000 0.0822
Ac: 0.0000 0.0000 0.9178
Ac: 0.3333 0.6667 0.5844
Ac: 0.3333 0.6667 0.7489
Ac: 0.6667 0.3333 0.2511
Ac: 0.6667 0.3333 0.4156
Y: 0.0000 0.0000 0.5000
Y: 0.3333 0.6667 0.1667
Y: 0.6667 0.3333 0.8333
Nb: 0.0000 0.0000 0.0000
Nb: 0.3333 0.6667 0.6667
Nb: 0.6667 0.3333 0.3333

| no. | calculated total energy (hartree per atom) | spin magnetization (μB/f.u.) | D(E_F) (states/eV/f.u.) |
| --- | --- | --- | --- |
| 1 | -0.052 | 0.38 | 6.30 |
| 2 | -0.142 | 0.00 | 5.39 |
| 3 | -0.199 | 0.00 | 6.29 |